The following is a DFT calculation (GGA-PBE) of a geometry-optimized Sr2AlOsS6 structure.

Cell and atoms, written as extended XYZ:
```
10
Lattice="-3.168 3.168 5.194 3.168 -3.168 5.194 3.168 3.168 -5.194" Properties=species:S:1:pos:R:3 pbc="T T T"
Sr 3.168 0.000 2.597
Sr 0.000 3.168 2.597
Al 0.000 0.000 0.000
Os 0.000 0.000 5.194
S 4.273 1.067 0.000
S 0.000 0.000 2.740
S 1.067 2.063 0.000
S 2.101 1.105 5.194
S 0.000 0.000 7.648
S -1.105 2.101 5.194
```

As for the offset from the most stable computed form: 0 meV/atom. As for the space-group type: I4/m (87). Its crystal system is tetragonal. The calculation puts the volume at 20.85 Å³/atom.

---

The following is a DFT calculation (GGA-PBE) of a geometry-optimized Sr2AlOsS6 structure.

Cell and atoms, written as extended XYZ:
```
10
Lattice="6.439 0.000 0.000 3.038 5.765 0.000 2.884 1.976 5.591" Properties=species:S:1:pos:R:3 pbc="T T T"
Sr 3.071 1.939 1.432
Sr 9.290 5.802 4.160
Al 0.000 0.000 0.000
Os 6.181 3.871 2.796
S 4.200 3.213 3.961
S 5.919 6.019 3.818
S 4.934 4.653 0.901
S 7.427 3.088 4.690
S 6.442 1.722 1.773
S 8.161 4.529 1.631
```

As for the offset from the most stable computed form: 4 meV/atom. As for the space-group type: P-1 (2). Its crystal system is triclinic. The calculation puts the volume at 20.76 Å³/atom.

---

The following is a DFT calculation (GGA-PBE) of a geometry-optimized AlSbOs structure.

Cell and atoms, written as extended XYZ:
```
3
Lattice="0.000 3.082 3.082 3.082 0.000 3.082 3.082 3.082 0.000" Properties=species:S:1:pos:R:3 pbc="T T T"
Al 0.000 0.000 0.000
Sb 3.082 3.082 3.082
Os 1.541 1.541 1.541
```

As for the offset from the most stable computed form: 0 meV/atom. As for the space-group type: F-43m (216). Its crystal system is cubic. The calculation puts the volume at 19.51 Å³/atom.

---

The following is a DFT calculation (GGA-PBE) of a geometry-optimized Sc2AlOs structure.

Cell and atoms, written as extended XYZ:
```
8
Lattice="4.827 0.000 0.000 -2.413 4.180 0.000 0.000 0.000 7.549" Properties=species:S:1:pos:R:3 pbc="T T T"
Sc 0.000 2.787 0.614
Sc 0.000 2.787 3.161
Sc 2.413 1.393 4.388
Sc 2.413 1.393 6.936
Al 0.000 0.000 0.000
Al 0.000 0.000 3.775
Os 0.000 2.787 5.662
Os 2.413 1.393 1.887
```

As for the space-group type: P6_3/mmc (194). Its crystal system is hexagonal. The calculation puts the total energy at -6.832 eV/atom. The calculation puts the volume at 19.04 Å³/atom.

---

The following is a DFT calculation (GGA-PBE) of a geometry-optimized Sc2AlOs structure.

Cell and atoms, written as extended XYZ:
```
8
Lattice="4.539 0.000 0.000 -2.270 3.931 0.000 0.000 0.000 8.485" Properties=species:S:1:pos:R:3 pbc="T T T"
Sc 0.000 2.621 0.742
Sc 0.000 2.621 3.501
Sc 2.270 1.310 4.984
Sc 2.270 1.310 7.743
Al 0.000 0.000 2.121
Al 0.000 0.000 6.364
Os 0.000 2.621 6.364
Os 2.270 1.310 2.121
```

As for the space-group type: P6_3/mmc (194). Its crystal system is hexagonal. The calculation puts the total energy at -7.315 eV/atom. The calculation puts the volume at 18.93 Å³/atom.

---

The following is a DFT calculation (GGA-PBE) of a geometry-optimized Sc2AlOs structure.

Cell and atoms, written as extended XYZ:
```
4
Lattice="3.314 0.000 0.000 0.000 3.314 0.000 0.000 0.000 6.568" Properties=species:S:1:pos:R:3 pbc="T T T"
Sc 0.000 0.000 1.504
Sc 0.000 0.000 5.064
Al 1.657 1.657 3.284
Os 1.657 1.657 0.000
```

As for the space-group type: P4/mmm (123). Its crystal system is tetragonal. The calculation puts the total energy at -7.428 eV/atom. The calculation puts the volume at 18.03 Å³/atom.

---

The following is a DFT calculation (GGA-PBE) of a geometry-optimized Sc2AlOs3 structure.

Cell and atoms, written as extended XYZ:
```
12
Lattice="5.277 0.000 0.000 -2.639 4.570 0.000 0.000 0.000 8.290" Properties=species:S:1:pos:R:3 pbc="T T T"
Sc 0.000 3.047 0.551
Sc 0.000 3.047 3.594
Sc 2.639 1.523 4.696
Sc 2.639 1.523 7.739
Al 0.000 0.000 0.000
Al 0.000 0.000 4.145
Os 0.000 1.565 6.217
Os -1.283 3.788 6.217
Os 1.355 0.782 2.072
Os 1.283 3.788 6.217
Os 3.922 0.782 2.072
Os 2.639 3.005 2.072
```

As for the space-group type: P6_3/mmc (194). Its crystal system is hexagonal. The calculation puts the total energy at -8.807 eV/atom. The calculation puts the volume at 16.66 Å³/atom.

---

The following is a DFT calculation (GGA-PBE) of a geometry-optimized Sc2AlOs structure.

Cell and atoms, written as extended XYZ:
```
4
Lattice="0.000 3.245 3.245 3.245 0.000 3.245 3.245 3.245 0.000" Properties=species:S:1:pos:R:3 pbc="T T T"
Sc 0.000 0.000 0.000
Sc 1.622 1.622 1.622
Al 3.245 3.245 3.245
Os 4.867 4.867 4.867
```

As for the space-group type: F-43m (216). Its crystal system is cubic. The calculation puts the total energy at -7.290 eV/atom. The calculation puts the volume at 17.08 Å³/atom.

---

The following is a DFT calculation (GGA-PBE) of a geometry-optimized ScAlOs2 structure.

Cell and atoms, written as extended XYZ:
```
4
Lattice="0.000 3.148 3.148 3.148 0.000 3.148 3.148 3.148 0.000" Properties=species:S:1:pos:R:3 pbc="T T T"
Sc 0.000 0.000 0.000
Al 4.722 4.722 4.722
Os 1.574 1.574 1.574
Os 3.148 3.148 3.148
```

As for the space-group type: F-43m (216). Its crystal system is cubic. The calculation puts the total energy at -8.178 eV/atom. The calculation puts the volume at 15.60 Å³/atom.

---

The following is a DFT calculation (GGA-PBE) of a geometry-optimized ScAl3Os2 structure.

Cell and atoms, written as extended XYZ:
```
6
Lattice="3.199 0.000 0.000 0.000 3.199 0.000 0.000 0.000 9.022" Properties=species:S:1:pos:R:3 pbc="T T T"
Sc 0.000 0.000 0.000
Al 0.000 0.000 2.879
Al 1.599 1.599 4.355
Al 1.599 1.599 7.042
Os 0.000 0.000 5.685
Os 1.599 1.599 1.611
```

As for the space-group type: P4mm (99). Its crystal system is tetragonal. The calculation puts the total energy at -7.192 eV/atom. The calculation puts the volume at 15.38 Å³/atom.

---

The following is a DFT calculation (GGA-PBE) of a geometry-optimized Sc2AlOs structure.

Cell and atoms, written as extended XYZ:
```
8
Lattice="-3.221 3.408 3.216 3.221 -3.408 3.216 3.221 3.408 -3.216" Properties=species:S:1:pos:R:3 pbc="T T T"
Sc 1.611 3.412 -1.608
Sc 1.611 0.004 1.608
Sc -1.611 3.404 1.608
Sc 1.611 3.404 1.608
Al 3.221 1.704 -0.007
Al 0.000 1.704 3.223
Os 3.221 -1.704 3.213
Os 0.000 5.112 0.003
```

As for the space-group type: Imma (74). Its crystal system is orthorhombic. The calculation puts the total energy at -7.380 eV/atom. The calculation puts the volume at 17.65 Å³/atom.

---

The following is a DFT calculation (GGA-PBE) of a geometry-optimized Sc6Al16Os7 structure.

Cell and atoms, written as extended XYZ:
```
29
Lattice="0.000 6.197 6.197 6.197 0.000 6.197 6.197 6.197 0.000" Properties=species:S:1:pos:R:3 pbc="T T T"
Sc 6.197 6.197 2.645
Sc 6.197 2.645 6.197
Sc 9.749 6.197 6.197
Sc 2.645 6.197 6.197
Sc 6.197 9.749 6.197
Sc 6.197 6.197 9.749
Al 7.697 4.698 4.698
Al 2.017 2.017 2.017
Al 4.181 4.181 2.017
Al 4.181 2.017 4.181
Al 4.698 4.698 4.698
Al 7.697 7.697 4.698
Al 7.697 4.698 7.697
Al 10.378 8.214 8.214
Al 2.017 4.181 4.181
Al 4.698 7.697 4.698
Al 4.698 4.698 7.697
Al 7.697 7.697 7.697
Al 8.214 10.378 8.214
Al 8.214 8.214 10.378
Al 10.378 10.378 10.378
Al 4.698 7.697 7.697
Os 3.099 3.099 0.000
Os 3.099 0.000 3.099
Os 6.197 3.099 3.099
Os 0.000 3.099 3.099
Os 3.099 6.197 3.099
Os 3.099 3.099 6.197
Os 6.197 6.197 6.197
```

As for the space-group type: Fm-3m (225). Its crystal system is cubic. The calculation puts the total energy at -6.689 eV/atom. The calculation puts the volume at 16.41 Å³/atom.

---

The following is a DFT calculation (GGA-PBE) of a geometry-optimized Sc3AlOs2 structure.

Cell and atoms, written as extended XYZ:
```
6
Lattice="3.242 0.000 0.000 0.000 3.242 0.000 0.000 0.000 10.407" Properties=species:S:1:pos:R:3 pbc="T T T"
Sc 0.000 0.000 0.000
Sc 0.000 0.000 3.041
Sc 1.621 1.621 5.640
Al 1.621 1.621 8.476
Os 0.000 0.000 7.206
Os 1.621 1.621 1.541
```

As for the space-group type: P4mm (99). Its crystal system is tetragonal. The calculation puts the total energy at -7.975 eV/atom. The calculation puts the volume at 18.23 Å³/atom.

---

The following is a DFT calculation (GGA-PBE) of a geometry-optimized Sc2AlOs structure.

Cell and atoms, written as extended XYZ:
```
8
Lattice="4.462 0.000 0.000 -2.231 3.865 0.000 0.000 0.000 9.451" Properties=species:S:1:pos:R:3 pbc="T T T"
Sc 0.000 2.576 0.788
Sc 0.000 2.576 3.937
Sc 2.231 1.288 5.514
Sc 2.231 1.288 8.663
Al 0.000 2.576 7.088
Al 2.231 1.288 2.363
Os 0.000 0.000 0.000
Os 0.000 0.000 4.726
```

As for the space-group type: P6_3/mmc (194). Its crystal system is hexagonal. The calculation puts the total energy at -6.739 eV/atom. The calculation puts the volume at 20.37 Å³/atom.

---

The following is a DFT calculation (GGA-PBE) of a geometry-optimized AlSiOs2 structure.

Cell and atoms, written as extended XYZ:
```
16
Lattice="5.080 0.000 0.000 0.000 7.606 0.000 0.000 0.000 5.765" Properties=species:S:1:pos:R:3 pbc="T T T"
Al 0.305 1.901 0.820
Al 2.235 5.704 3.702
Al 2.845 1.901 2.062
Al 4.775 5.704 4.945
Si 0.492 1.901 3.540
Si 2.048 5.704 0.658
Si 3.032 1.901 5.107
Si 4.589 5.704 2.225
Os 1.223 3.926 2.169
Os 1.223 7.483 2.169
Os 1.317 0.123 5.051
Os 1.317 3.680 5.051
Os 3.763 3.926 0.713
Os 3.763 7.483 0.713
Os 3.857 0.123 3.596
Os 3.857 3.680 3.596
```

As for the space-group type: Pnma (62). Its crystal system is orthorhombic. The calculation puts the total energy at -8.186 eV/atom. The calculation puts the volume at 13.92 Å³/atom.

---

The following is a DFT calculation (GGA-PBE) of a geometry-optimized AlSiOs2 structure.

Cell and atoms, written as extended XYZ:
```
4
Lattice="2.974 0.000 0.000 0.000 2.974 0.000 0.000 0.000 5.995" Properties=species:S:1:pos:R:3 pbc="T T T"
Al 0.000 0.000 0.000
Si 0.000 0.000 2.998
Os 1.487 1.487 1.569
Os 1.487 1.487 4.426
```

As for the space-group type: P4/mmm (123). Its crystal system is tetragonal. The calculation puts the total energy at -8.320 eV/atom. The calculation puts the volume at 13.26 Å³/atom.

---

The following is a DFT calculation (GGA-PBE) of a geometry-optimized SmAlOs structure.

Cell and atoms, written as extended XYZ:
```
3
Lattice="0.000 3.310 3.310 3.310 0.000 3.310 3.310 3.310 0.000" Properties=species:S:1:pos:R:3 pbc="T T T"
Sm 0.000 0.000 0.000
Al 4.965 4.965 4.965
Os 1.655 1.655 1.655
```

As for the space-group type: F-43m (216). Its crystal system is cubic. The calculation puts the total energy at -5.632 eV/atom. The calculation puts the volume at 24.17 Å³/atom.